[1]
First-principles (PBE) data for a relaxed SmHoPu2S4 crystal, as listed in Alexandria via LeMat-Bulk.

a b c (Å): 3.941 6.833 6.864
angles (deg): 109.33 90.00 90.00
Site moments in Bohr magnetons follow the coordinates.
Sites, in units of the cell vectors:
1 Pu 0.500 0.000 0.500  5.31
2 S 0.500 0.756 0.752  -0.06
3 Ho 0.000 0.000 0.000  0.04
4 Sm 0.500 0.500 0.000  0.02
5 Pu 0.000 0.500 0.500  5.38
6 S 0.000 0.756 0.252  -0.06
7 S 0.000 0.244 0.748  -0.06
8 S 0.500 0.244 0.248  -0.06

- DOS at the Fermi energy (states/eV per atom) = 1.93
- uncorrected formation energy (kJ/mol of atoms) = -183.9
- magnetization (μB/cell) = 11.3

[2]
First-principles (PBE) data for a relaxed Ca2PrGa crystal, as listed in Alexandria via LeMat-Bulk.

a b c (Å): 3.619 3.619 11.946
angles (deg): 81.29 81.29 60.00
Sites, in units of the cell vectors:
1 Ga 0.500 0.500 0.500
2 Ca 0.898 0.898 0.305
3 Ca 0.102 0.102 0.695
4 Pr 0.000 0.000 0.000

- DOS at the Fermi energy (states/eV per atom) = 0.95
- DFT total energy (eV/atom) = -2.95
- magnetization (μB/cell) = 0.0